# 1
## Be2AgRu (PBE)

Data for an optimized crystal structure of Be2AgRu.

```
Be2AgRu
1.0
7.742 0.008 0.005
7.247 2.725 0.005
7.247 1.321 2.383
Ru Be Ag
1 2 1
Direct
0.250 0.250 0.250 Ru
0.507 0.507 0.507 Be
0.993 0.993 0.993 Be
0.750 0.750 0.750 Ag
```

Values from the calculation:
**Energy of formation from the pure elements**: 109.4 meV per atom

***

# 2
## Cs2IrIBr6 (PBE)

Data for an optimized crystal structure of Cs2IrIBr6.

```
Cs2IrIBr6
1.0
-3.126 -6.649 -3.321
-2.962 -2.935 8.663
-8.895 4.876 -1.390
Cs Br I Ir
4 12 2 2
Direct
0.000 0.226 0.252 Cs
0.500 0.774 0.248 Cs
0.000 0.226 0.748 Cs
0.500 0.774 0.752 Cs
0.500 0.183 0.738 Br
0.000 0.817 0.238 Br
0.217 0.587 0.000 Br
0.500 0.183 0.262 Br
0.726 0.040 0.500 Br
0.000 0.817 0.762 Br
0.283 0.413 0.500 Br
0.226 0.960 0.000 Br
0.783 0.587 0.000 Br
0.717 0.413 0.500 Br
0.774 0.960 0.000 Br
0.274 0.040 0.500 Br
0.000 0.711 0.500 I
0.500 0.289 0.000 I
0.000 0.772 0.000 Ir
0.500 0.228 0.500 Ir
```

Values from the calculation:
**E_form (uncorrected)**: -77.3 kJ/mol of atoms

***

# 3
## ZrSc4H10 (PBE)

Data for an optimized crystal structure of ZrSc4H10.

```
ZrSc4H10
1.0
4.365 0.000 1.971
2.182 5.299 0.985
0.001 0.000 5.815
H Sc Zr
10 4 1
Direct
0.750 0.500 0.500 H
0.650 0.300 0.900 H
0.350 0.700 0.100 H
0.250 0.500 0.500 H
0.050 0.100 0.300 H
0.551 0.100 0.300 H
0.950 0.900 0.700 H
0.149 0.300 0.900 H
0.449 0.900 0.700 H
0.851 0.700 0.100 H
0.400 0.800 0.401 Sc
0.600 0.200 0.599 Sc
0.200 0.401 0.200 Sc
0.800 0.599 0.800 Sc
0.000 0.000 0.000 Zr
```

***

# 4
## Tb2HgRh (PBE)

Data for an optimized crystal structure of Tb2HgRh.

```
Tb2HgRh
1.0
-2.516 -1.477 2.777
-0.566 -3.977 0.294
4.668 -2.265 5.946
Tb Hg Rh
2 1 1
Direct
0.067 0.067 0.798 Tb
0.266 0.266 0.201 Tb
0.501 0.501 0.498 Hg
0.666 0.666 0.003 Rh
```

Values from the calculation:
**Energy above the lowest structure with this stoichiometry**: 94 meV per atom
**Energy of formation from the pure elements**: -586.6 meV per atom

***

# 5
## Tm12H5O3 (PBE)

Data for an optimized crystal structure of Tm12H5O3.

```
Tm12H5O3
1.0
-2.049 -6.410 10.173
12.019 0.988 -1.831
-4.864 11.126 1.155
H Tm O
20 48 12
Direct
0.375 0.250 0.125 H
0.125 0.750 0.375 H
0.750 0.125 0.875 H
0.500 0.000 0.000 H
0.000 0.000 0.500 H
0.875 0.250 0.625 H
0.625 0.875 0.250 H
0.750 0.625 0.375 H
0.000 0.000 0.000 H
0.000 0.500 0.500 H
0.500 0.500 0.500 H
0.250 0.875 0.125 H
0.125 0.375 0.250 H
0.875 0.625 0.750 H
0.250 0.375 0.625 H
0.625 0.750 0.875 H
0.500 0.500 0.000 H
0.375 0.125 0.750 H
0.500 0.000 0.500 H
0.000 0.500 0.000 H
0.412 0.031 0.312 Tm
0.100 0.912 0.381 Tm
0.281 0.881 0.969 Tm
0.881 0.281 0.469 Tm
0.619 0.588 0.900 Tm
0.812 0.912 0.031 Tm
0.619 0.031 0.219 Tm
0.719 0.119 0.031 Tm
0.588 0.619 0.400 Tm
0.219 0.531 0.619 Tm
0.281 0.400 0.812 Tm
0.312 0.531 0.412 Tm
0.031 0.412 0.812 Tm
0.719 0.600 0.188 Tm
0.531 0.219 0.119 Tm
0.600 0.719 0.688 Tm
0.119 0.400 0.088 Tm
0.400 0.281 0.312 Tm
0.969 0.381 0.281 Tm
0.881 0.600 0.912 Tm
0.188 0.088 0.969 Tm
0.469 0.688 0.088 Tm
0.600 0.881 0.412 Tm
0.812 0.900 0.281 Tm
0.188 0.100 0.719 Tm
0.381 0.969 0.781 Tm
0.531 0.312 0.912 Tm
0.688 0.219 0.600 Tm
0.031 0.619 0.719 Tm
0.912 0.812 0.531 Tm
0.588 0.969 0.688 Tm
0.469 0.781 0.881 Tm
0.088 0.188 0.469 Tm
0.412 0.381 0.600 Tm
0.781 0.469 0.381 Tm
0.912 0.100 0.881 Tm
0.781 0.312 0.900 Tm
0.119 0.719 0.531 Tm
0.400 0.119 0.588 Tm
0.312 0.781 0.400 Tm
0.088 0.900 0.119 Tm
0.900 0.812 0.781 Tm
0.381 0.412 0.100 Tm
0.969 0.588 0.188 Tm
0.100 0.188 0.219 Tm
0.900 0.088 0.619 Tm
0.688 0.469 0.588 Tm
0.219 0.688 0.100 Tm
0.625 0.250 0.375 O
0.625 0.375 0.750 O
0.125 0.250 0.875 O
0.375 0.625 0.250 O
0.875 0.750 0.125 O
0.125 0.875 0.750 O
0.875 0.125 0.250 O
0.750 0.375 0.125 O
0.750 0.875 0.625 O
0.250 0.625 0.875 O
0.375 0.750 0.625 O
0.250 0.125 0.375 O
```

***

In μB per atom, the M_tot values for the records above are, in order, 0.000; 0.000; 0.000; 0.000; 0.000.
In eV/atom, the total energy values for the records above are, in order, -4.785; -3.017; -5.170; -4.815; -4.881.